# 1
A relaxed structure of RbMg2ZrGe. Source: Alexandria via LeMat-Bulk, functional PBE-GGA.

Cell lengths 5.882, 5.255, 5.882 Å; angles 90.00, 90.00, 90.00 degrees
Each line ends with the local moment (μB).
Positions (direct):
Mg1 0.000 0.000 0.500  0.01
Mg2 0.500 0.000 0.000  0.03
Ge1 0.000 0.500 0.000  0.02
Rb1 0.500 0.500 0.500  0.00
Zr1 0.000 0.000 0.000  0.45

Results
* SG: P4/mmm
* density of states at the Fermi level: 1.043 states/eV/atom
* magnetization: 1.0 μB per cell
* calculated total energy: -3.02 eV/atom

***

# 2
A relaxed structure of MgRe2Ge2. Source: Alexandria via LeMat-Bulk, functional PBE-GGA.

Cell lengths 7.300, 7.300, 2.969 Å; angles 90.00, 90.00, 90.00 degrees
Positions (direct):
Re1 0.147 0.647 0.500
Re2 0.647 0.853 0.500
Re3 0.853 0.353 0.500
Re4 0.353 0.147 0.500
Ge1 0.353 0.853 0.000
Ge2 0.853 0.647 0.000
Ge3 0.647 0.147 0.000
Ge4 0.147 0.353 0.000
Mg1 0.000 0.000 0.000
Mg2 0.500 0.500 0.000

Results
* SG: P4/mbm
* density of states at the Fermi level: 0.734 states/eV/atom
* magnetization: 0.0 μB per cell
* calculated total energy: -6.95 eV/atom